The following is a GGA-PBE calculation of a relaxed structure of TbMgGe2Pd2, from the Alexandria database.

The structure in CIF format:
```
data_TbMgGe2Pd2
_space_group_name_H-M_alt 'P -3 m 1'
_space_group_IT_number 164
_space_group_name_Hall '-P 3 2"'
_cell_length_a 4.3485
_cell_length_b 4.3485
_cell_length_c 6.7806
_cell_angle_alpha 90.00
_cell_angle_beta 90.00
_cell_angle_gamma 120.00
loop_
_atom_site_label
_atom_site_fract_x
_atom_site_fract_y
_atom_site_fract_z
_atom_site_occupancy
Tb1 0.0000 0.0000 0.0000 1
Mg1 0.0000 0.0000 0.5000 1
Ge1 0.3333 0.6667 0.7367 1
Pd1 0.3333 0.6667 0.3195 1
```

ΔH_f (0 K) ... -73.0 kJ per mole of atoms
DFT total energy ... -30.386 eV per formula unit
Mass density ... 8.1 g/cm3